La5TlTe4 | PBE-GGA | optimized geometry

Values from the calculation:
Formation energy from raw total energies ... -1.371 eV per atom
Raw total energy ... -5.328 eV/atom
Crystal system ... tetragonal

```
data_La5TlTe4
_chemical_formula_sum 'La10 Tl2 Te8'
_space_group_name_H-M_alt 'I 4/m'
_space_group_IT_number 87
_space_group_name_Hall '-I 4'
_cell_length_a 10.296
_cell_length_b 10.296
_cell_length_c 6.493
_cell_angle_alpha 90.00
_cell_angle_beta 90.00
_cell_angle_gamma 90.00
loop_
_atom_site_label
_atom_site_type_symbol
_atom_site_fract_x
_atom_site_fract_y
_atom_site_fract_z
La1 La 0.000 0.000 0.000
La2 La 0.100 0.298 0.500
Tl1 Tl 0.000 0.000 0.500
Te1 Te 0.099 0.301 0.000
```

---

La6Tl5Te | PBE-GGA | optimized geometry

Values from the calculation:
Formation energy from raw total energies ... -0.564 eV per atom
Raw total energy ... -4.275 eV/atom
Crystal system ... monoclinic

```
data_La6Tl5Te
_chemical_formula_sum 'La12 Tl10 Te2'
_space_group_name_H-M_alt 'C 1 2/m 1'
_space_group_IT_number 12
_cell_length_a 10.163
_cell_length_b 16.243
_cell_length_c 5.334
_cell_angle_alpha 90.00
_cell_angle_beta 121.59
_cell_angle_gamma 90.00
loop_
_space_group_symop_operation_xyz
'x,y,z'
'-x,-y,-z'
'-x,y,-z'
'x,-y,z'
'x+1/2,y+1/2,z'
'-x+1/2,-y+1/2,-z'
'-x+1/2,y+1/2,-z'
'x+1/2,-y+1/2,z'
loop_
_atom_site_label
_atom_site_type_symbol
_atom_site_fract_x
_atom_site_fract_y
_atom_site_fract_z
La1 La 0.241 0.000 0.242
La2 La 0.243 0.162 0.743
Tl1 Tl 0.000 0.183 0.000
Tl2 Tl 0.000 0.336 0.500
Tl3 Tl 0.000 0.500 0.000
Te1 Te 0.000 0.000 0.500
```

---

LaTlTe2 | PBE-GGA | optimized geometry

Values from the calculation:
Formation energy from raw total energies ... -1.033 eV per atom
Raw total energy ... -4.427 eV/atom
Crystal system ... tetragonal

```
data_LaTlTe2
_chemical_formula_sum 'La1 Tl1 Te2'
_space_group_name_H-M_alt 'P 4/m m m'
_space_group_IT_number 123
_space_group_name_Hall '-P 4 2'
_cell_length_a 4.697
_cell_length_b 4.697
_cell_length_c 6.541
_cell_angle_alpha 90.00
_cell_angle_beta 90.00
_cell_angle_gamma 90.00
loop_
_atom_site_label
_atom_site_type_symbol
_atom_site_fract_x
_atom_site_fract_y
_atom_site_fract_z
La1 La 0.000 0.000 0.000
Tl1 Tl 0.500 0.500 0.500
Te1 Te 0.000 0.000 0.500
Te2 Te 0.500 0.500 0.000
```

---

LaTl2Te | PBE-GGA | optimized geometry

Values from the calculation:
Formation energy from raw total energies ... -0.496 eV per atom
Relative energy among the computed polymorphs ... 140.8 meV/atom
Raw total energy ... -3.697 eV/atom
Crystal system ... cubic

```
data_LaTl2Te
_chemical_formula_sum 'La4 Tl8 Te4'
_space_group_name_H-M_alt 'F -4 3 m'
_space_group_IT_number 216
_space_group_name_Hall 'F -4 2 3'
_cell_length_a 7.884
_cell_length_b 7.884
_cell_length_c 7.884
_cell_angle_alpha 90.00
_cell_angle_beta 90.00
_cell_angle_gamma 90.00
loop_
_atom_site_label
_atom_site_type_symbol
_atom_site_fract_x
_atom_site_fract_y
_atom_site_fract_z
La1 La 0.000 0.000 0.000
Tl1 Tl 0.000 0.000 0.500
Tl2 Tl 0.250 0.250 0.750
Te1 Te 0.250 0.250 0.250
```

---

LaTlTe3 | PBE-GGA | optimized geometry

Values from the calculation:
Formation energy from raw total energies ... -0.185 eV per atom
Relative energy among the computed polymorphs ... 268.5 meV/atom
Raw total energy ... -3.529 eV/atom
Crystal system ... cubic

```
data_LaTlTe3
_chemical_formula_sum 'La1 Tl1 Te3'
_space_group_name_H-M_alt 'P m -3 m'
_space_group_IT_number 221
_space_group_name_Hall '-P 4 2 3'
_cell_length_a 5.685
_cell_length_b 5.685
_cell_length_c 5.685
_cell_angle_alpha 90.00
_cell_angle_beta 90.00
_cell_angle_gamma 90.00
loop_
_atom_site_label
_atom_site_type_symbol
_atom_site_fract_x
_atom_site_fract_y
_atom_site_fract_z
La1 La 0.000 0.000 0.000
Tl1 Tl 0.500 0.500 0.500
Te1 Te 0.000 0.500 0.500
```

---

LaTlTe | PBE-GGA | optimized geometry

Values from the calculation:
Formation energy from raw total energies ... -0.738 eV per atom
Relative energy among the computed polymorphs ... 138.1 meV/atom
Raw total energy ... -4.217 eV/atom
Crystal system ... tetragonal

```
data_LaTlTe
_chemical_formula_sum 'La2 Tl2 Te2'
_space_group_name_H-M_alt 'I 4 m m'
_space_group_IT_number 107
_space_group_name_Hall 'I 4 -2'
_cell_length_a 4.201
_cell_length_b 4.201
_cell_length_c 11.484
_cell_angle_alpha 90.00
_cell_angle_beta 90.00
_cell_angle_gamma 90.00
loop_
_atom_site_label
_atom_site_type_symbol
_atom_site_fract_x
_atom_site_fract_y
_atom_site_fract_z
La1 La 0.000 0.000 0.000
Tl1 Tl 0.000 0.000 0.673
Te1 Te 0.000 0.000 0.387
```

---

La3TlTe6 | PBE-GGA | optimized geometry

Values from the calculation:
Formation energy from raw total energies ... -1.197 eV per atom
Raw total energy ... -4.797 eV/atom
Crystal system ... orthorhombic

```
data_La3TlTe6
_chemical_formula_sum 'La12 Tl4 Te24'
_space_group_name_H-M_alt 'C m c 21'
_space_group_IT_number 36
_cell_length_a 12.582
_cell_length_b 15.613
_cell_length_c 7.646
_cell_angle_alpha 90.00
_cell_angle_beta 90.00
_cell_angle_gamma 90.00
loop_
_space_group_symop_operation_xyz
'x,y,z'
'-x,-y,z+1/2'
'-x,y,z'
'x,-y,z+1/2'
'x+1/2,y+1/2,z'
'-x+1/2,-y+1/2,z+1/2'
'-x+1/2,y+1/2,z'
'x+1/2,-y+1/2,z+1/2'
loop_
_atom_site_label
_atom_site_type_symbol
_atom_site_fract_x
_atom_site_fract_y
_atom_site_fract_z
La1 La 0.000 0.094 0.000
La2 La 0.183 0.404 0.894
Tl1 Tl 0.000 0.296 0.364
Te1 Te 0.000 0.276 0.740
Te2 Te 0.000 0.469 0.196
Te3 Te 0.163 0.036 0.700
Te4 Te 0.177 0.230 0.157
```

---

LaTm2Tl3Te6 | PBE-GGA | optimized geometry

Values from the calculation:
Formation energy from raw total energies ... -1.066 eV per atom
Raw total energy ... -4.385 eV/atom
Crystal system ... monoclinic

```
data_LaTm2Tl3Te6
_chemical_formula_sum 'La2 Tm4 Tl6 Te12'
_space_group_name_H-M_alt 'C 1 2/m 1'
_space_group_IT_number 12
_cell_length_a 7.792
_cell_length_b 13.486
_cell_length_c 8.574
_cell_angle_alpha 90.00
_cell_angle_beta 107.64
_cell_angle_gamma 90.00
loop_
_space_group_symop_operation_xyz
'x,y,z'
'-x,-y,-z'
'-x,y,-z'
'x,-y,z'
'x+1/2,y+1/2,z'
'-x+1/2,-y+1/2,-z'
'-x+1/2,y+1/2,-z'
'x+1/2,-y+1/2,z'
loop_
_atom_site_label
_atom_site_type_symbol
_atom_site_fract_x
_atom_site_fract_y
_atom_site_fract_z
La1 La 0.000 0.000 0.000
Tm1 Tm 0.000 0.333 0.000
Tl1 Tl 0.000 0.163 0.500
Tl2 Tl 0.000 0.500 0.500
Te1 Te 0.223 0.500 0.211
Te2 Te 0.246 0.174 0.215
```

---

La2TmTl3Te6 | PBE-GGA | optimized geometry

Values from the calculation:
Formation energy from raw total energies ... -1.109 eV per atom
Raw total energy ... -4.465 eV/atom
Crystal system ... monoclinic

```
data_La2TmTl3Te6
_chemical_formula_sum 'La4 Tm2 Tl6 Te12'
_space_group_name_H-M_alt 'C 1 2/m 1'
_space_group_IT_number 12
_cell_length_a 7.940
_cell_length_b 13.744
_cell_length_c 8.569
_cell_angle_alpha 90.00
_cell_angle_beta 108.00
_cell_angle_gamma 90.00
loop_
_space_group_symop_operation_xyz
'x,y,z'
'-x,-y,-z'
'-x,y,-z'
'x,-y,z'
'x+1/2,y+1/2,z'
'-x+1/2,-y+1/2,-z'
'-x+1/2,y+1/2,-z'
'x+1/2,-y+1/2,z'
loop_
_atom_site_label
_atom_site_type_symbol
_atom_site_fract_x
_atom_site_fract_y
_atom_site_fract_z
La1 La 0.000 0.166 0.000
Tm1 Tm 0.000 0.500 0.000
Tl1 Tl 0.000 0.000 0.500
Tl2 Tl 0.000 0.330 0.500
Te1 Te 0.232 0.340 0.216
Te2 Te 0.246 0.500 0.780
```

---

La3TmTl3Te8 | PBE-GGA | optimized geometry

Values from the calculation:
Formation energy from raw total energies ... -1.110 eV per atom
Raw total energy ... -4.542 eV/atom
Crystal system ... trigonal

```
data_La3TmTl3Te8
_chemical_formula_sum 'La9 Tm3 Tl9 Te24'
_space_group_name_H-M_alt 'R -3 m'
_space_group_IT_number 166
_space_group_name_Hall '-R 3 2"'
_cell_length_a 9.1919
_cell_length_b 9.1919
_cell_length_c 24.1645
_cell_angle_alpha 90.00
_cell_angle_beta 90.00
_cell_angle_gamma 120.00
loop_
_atom_site_label
_atom_site_type_symbol
_atom_site_fract_x
_atom_site_fract_y
_atom_site_fract_z
La1 La 0.0000 0.5000 0.0000
Tm1 Tm 0.0000 0.0000 0.0000
Tl1 Tl 0.0000 0.5000 0.5000
Te1 Te 0.0000 0.0000 0.2579
Te2 Te 0.0148 0.5074 0.7390
```

---

LaU2Tl3Te6 | PBE-GGA | optimized geometry

Values from the calculation:
Formation energy from raw total energies ... -0.720 eV per atom
Raw total energy ... -5.174 eV/atom
Crystal system ... monoclinic

```
data_LaU2Tl3Te6
_chemical_formula_sum 'La2 U4 Tl6 Te12'
_space_group_name_H-M_alt 'C 1 2/m 1'
_space_group_IT_number 12
_cell_length_a 7.816
_cell_length_b 13.534
_cell_length_c 8.651
_cell_angle_alpha 90.00
_cell_angle_beta 107.53
_cell_angle_gamma 90.00
loop_
_space_group_symop_operation_xyz
'x,y,z'
'-x,-y,-z'
'-x,y,-z'
'x,-y,z'
'x+1/2,y+1/2,z'
'-x+1/2,-y+1/2,-z'
'-x+1/2,y+1/2,-z'
'x+1/2,-y+1/2,z'
loop_
_atom_site_label
_atom_site_type_symbol
_atom_site_fract_x
_atom_site_fract_y
_atom_site_fract_z
La1 La 0.000 0.000 0.000
U1 U 0.000 0.333 0.000
Tl1 Tl 0.000 0.164 0.500
Tl2 Tl 0.000 0.500 0.500
Te1 Te 0.228 0.500 0.216
Te2 Te 0.245 0.172 0.219
```

---

La2UTl3Te6 | PBE-GGA | optimized geometry

Values from the calculation:
Formation energy from raw total energies ... -0.934 eV per atom
Raw total energy ... -4.858 eV/atom
Crystal system ... monoclinic

```
data_La2UTl3Te6
_chemical_formula_sum 'La4 U2 Tl6 Te12'
_space_group_name_H-M_alt 'C 1 2/m 1'
_space_group_IT_number 12
_cell_length_a 7.977
_cell_length_b 13.814
_cell_length_c 8.598
_cell_angle_alpha 90.00
_cell_angle_beta 108.00
_cell_angle_gamma 90.00
loop_
_space_group_symop_operation_xyz
'x,y,z'
'-x,-y,-z'
'-x,y,-z'
'x,-y,z'
'x+1/2,y+1/2,z'
'-x+1/2,-y+1/2,-z'
'-x+1/2,y+1/2,-z'
'x+1/2,-y+1/2,z'
loop_
_atom_site_label
_atom_site_type_symbol
_atom_site_fract_x
_atom_site_fract_y
_atom_site_fract_z
La1 La 0.000 0.166 0.000
U1 U 0.000 0.500 0.000
Tl1 Tl 0.000 0.000 0.500
Tl2 Tl 0.000 0.332 0.500
Te1 Te 0.236 0.337 0.220
Te2 Te 0.249 0.000 0.222
```